# Nd3UOs3 GGA-PBE relaxed
data_Nd3UOs3
_chemical_formula_sum 'Nd6 U2 Os6'
_space_group_name_H-M_alt 'P 1'
_space_group_IT_number 1
_space_group_name_Hall 'P 1'
_cell_length_a 5.845
_cell_length_b 5.845
_cell_length_c 14.598
_cell_angle_alpha 109.48
_cell_angle_beta 109.48
_cell_angle_gamma 47.65
loop_
_atom_site_label
_atom_site_fract_x
_atom_site_fract_y
_atom_site_fract_z
_atom_site_occupancy
Nd1 0.002 0.002 0.130 1
Nd2 0.113 0.113 0.428 1
Nd3 0.250 0.250 0.720 1
Nd4 0.750 0.750 0.280 1
Nd5 0.887 0.887 0.572 1
Nd6 0.998 0.998 0.870 1
U1 0.300 0.300 0.097 1
U2 0.700 0.700 0.903 1
Os1 0.359 0.359 0.948 1
Os2 0.398 0.398 0.428 1
Os3 0.433 0.433 0.268 1
Os4 0.567 0.567 0.732 1
Os5 0.602 0.602 0.572 1
Os6 0.641 0.641 0.052 1
# **SG**: C2/m (12)
# **D(E_F)**: 7.5 states/eV/f.u.
# **Energy of formation from the pure elements**: -55 meV per atom
# **Mass density**: 12.01 g/cm3

---

# LaCuSi4 GGA-PBE relaxed
data_LaCuSi4
_chemical_formula_sum 'La1 Cu1 Si4'
_space_group_name_H-M_alt 'P 1'
_space_group_IT_number 1
_space_group_name_Hall 'P 1'
_cell_length_a 5.292
_cell_length_b 5.292
_cell_length_c 5.292
_cell_angle_alpha 60.00
_cell_angle_beta 60.00
_cell_angle_gamma 60.00
loop_
_atom_site_label
_atom_site_fract_x
_atom_site_fract_y
_atom_site_fract_z
_atom_site_occupancy
La1 0.000 0.000 0.000 1
Cu1 0.250 0.250 0.250 1
Si1 0.133 0.622 0.622 1
Si2 0.622 0.133 0.622 1
Si3 0.622 0.622 0.133 1
Si4 0.622 0.622 0.622 1
# **SG**: F-43m (216)
# **Calculated total energy**: -5.13 eV/atom
# **D(E_F)**: 1.3 states/eV/f.u.
# **Mass density**: 4.99 g/cm3

---

# Pr2YHoTh GGA-PBE relaxed
data_Pr2YHoTh
_chemical_formula_sum 'Pr4 Y2 Ho2 Th2'
_space_group_name_H-M_alt 'P 1'
_space_group_IT_number 1
_space_group_name_Hall 'P 1'
_cell_length_a 6.351
_cell_length_b 8.573
_cell_length_c 6.611
_cell_angle_alpha 90.00
_cell_angle_beta 103.21
_cell_angle_gamma 90.00
loop_
_atom_site_label
_atom_site_fract_x
_atom_site_fract_y
_atom_site_fract_z
_atom_site_occupancy
Pr1 0.217 0.176 0.158 1
Pr2 0.217 0.824 0.658 1
Pr3 0.783 0.176 0.342 1
Pr4 0.783 0.824 0.842 1
Y1 0.500 0.164 0.750 1
Y2 0.500 0.836 0.250 1
Ho1 0.000 0.415 0.750 1
Ho2 0.000 0.585 0.250 1
Th1 0.500 0.500 0.000 1
Th2 0.500 0.500 0.500 1
# **SG**: P2/c (13)
# **D(E_F)**: 8.6 states/eV/f.u.
# **Energy of formation from the pure elements**: 246 meV per atom
# **Mass density**: 7.28 g/cm3

---

# Zr2Hg2PdS6 GGA-PBE relaxed
data_Zr2Hg2PdS6
_chemical_formula_sum 'Zr2 Hg2 Pd1 S6'
_space_group_name_H-M_alt 'P 1'
_space_group_IT_number 1
_space_group_name_Hall 'P 1'
_cell_length_a 6.254
_cell_length_b 6.254
_cell_length_c 9.262
_cell_angle_alpha 97.81
_cell_angle_beta 97.81
_cell_angle_gamma 121.45
loop_
_atom_site_label
_atom_site_fract_x
_atom_site_fract_y
_atom_site_fract_z
_atom_site_occupancy
Zr1 0.165 0.835 0.000 1
Zr2 0.835 0.165 0.000 1
Hg1 0.250 0.750 0.500 1
Hg2 0.750 0.250 0.500 1
Pd1 0.500 0.500 0.000 1
S1 0.110 0.110 0.834 1
S2 0.251 0.573 0.166 1
S3 0.427 0.749 0.834 1
S4 0.573 0.251 0.166 1
S5 0.749 0.427 0.834 1
S6 0.890 0.890 0.166 1
# **SG**: C2/m (12)
# **Calculated total energy**: -5.15 eV/atom
# **D(E_F)**: 2.7 states/eV/f.u.
# **Mass density**: 4.94 g/cm3

---

# Na2TiInO4 GGA-PBE relaxed
data_Na2TiInO4
_chemical_formula_sum 'Na2 Ti1 In1 O4'
_space_group_name_H-M_alt 'P 1'
_space_group_IT_number 1
_space_group_name_Hall 'P 1'
_cell_length_a 6.061
_cell_length_b 6.061
_cell_length_c 6.061
_cell_angle_alpha 129.63
_cell_angle_beta 129.63
_cell_angle_gamma 74.00
loop_
_atom_site_label
_atom_site_fract_x
_atom_site_fract_y
_atom_site_fract_z
_atom_site_occupancy
Na1 0.000 0.000 0.000 1
Na2 0.750 0.250 0.500 1
Ti1 0.250 0.750 0.500 1
In1 0.500 0.500 0.000 1
O1 0.165 0.643 0.087 1
O2 0.357 0.444 0.523 1
O3 0.556 0.079 0.913 1
O4 0.921 0.835 0.477 1
# **SG**: I-4 (82)
# **Calculated total energy**: -6.15 eV/atom
# **D(E_F)**: 2.5 states/eV/f.u.
# **Mass density**: 3.52 g/cm3

---

# Cu2ReRu GGA-PBE relaxed
data_Cu2ReRu
_chemical_formula_sum 'Cu2 Re1 Ru1'
_space_group_name_H-M_alt 'P 1'
_space_group_IT_number 1
_space_group_name_Hall 'P 1'
_cell_length_a 2.730
_cell_length_b 3.743
_cell_length_c 5.274
_cell_angle_alpha 90.00
_cell_angle_beta 90.36
_cell_angle_gamma 90.00
loop_
_atom_site_label
_atom_site_fract_x
_atom_site_fract_y
_atom_site_fract_z
_atom_site_occupancy
Cu1 0.000 0.000 0.000 1
Cu2 0.499 0.500 0.218 1
Re1 0.999 0.000 0.495 1
Ru1 0.500 0.500 0.719 1
# **SG**: Pm (6)
# **D(E_F)**: 3.4 states/eV/f.u.
# **ΔE to the lowest computed polymorph**: 47 meV per atom
# **Energy of formation from the pure elements**: 179 meV per atom
# **Mass density**: 12.77 g/cm3

---

# UAuC GGA-PBE relaxed
data_UAuC
_chemical_formula_sum 'U2 Au2 C2'
_space_group_name_H-M_alt 'P 1'
_space_group_IT_number 1
_space_group_name_Hall 'P 1'
_cell_length_a 10.148
_cell_length_b 10.148
_cell_length_c 10.148
_cell_angle_alpha 161.30
_cell_angle_beta 161.30
_cell_angle_gamma 26.57
loop_
_atom_site_label
_atom_site_fract_x
_atom_site_fract_y
_atom_site_fract_z
_atom_site_occupancy
U1 0.178 0.178 0.000 1
U2 0.822 0.822 0.000 1
Au1 0.432 0.432 0.000 1
Au2 0.568 0.568 0.000 1
C1 0.296 0.296 0.000 1
C2 0.704 0.704 0.000 1
# **SG**: I4/mmm (139)
# **D(E_F)**: 4.1 states/eV/f.u.
# **Energy of formation from the pure elements**: 5 meV per atom
# **Mass density**: 13.82 g/cm3

---

# GeTe2RhI GGA-PBE relaxed
data_GeTe2RhI
_chemical_formula_sum 'Ge1 Te2 Rh1 I1'
_space_group_name_H-M_alt 'P 1'
_space_group_IT_number 1
_space_group_name_Hall 'P 1'
_cell_length_a 5.382
_cell_length_b 5.382
_cell_length_c 5.573
_cell_angle_alpha 90.00
_cell_angle_beta 90.00
_cell_angle_gamma 90.00
loop_
_atom_site_label
_atom_site_fract_x
_atom_site_fract_y
_atom_site_fract_z
_atom_site_occupancy
Ge1 0.000 0.000 0.000 1
Te1 0.000 0.500 0.000 1
Te2 0.500 0.000 0.000 1
Rh1 0.500 0.500 0.500 1
I1 0.000 0.000 0.500 1
# **SG**: P4/mmm (123)
# **D(E_F)**: 7.0 states/eV/f.u.
# **ΔE to the lowest computed polymorph**: 565 meV per atom
# **Mass density**: 5.74 g/cm3

---

# CePu2SbN2 GGA-PBE relaxed
data_CePu2SbN2
_chemical_formula_sum 'Ce1 Pu2 Sb1 N2'
_space_group_name_H-M_alt 'P 1'
_space_group_IT_number 1
_space_group_name_Hall 'P 1'
_cell_length_a 4.447
_cell_length_b 4.447
_cell_length_c 6.491
_cell_angle_alpha 90.00
_cell_angle_beta 90.00
_cell_angle_gamma 90.00
loop_
_atom_site_label
_atom_site_fract_x
_atom_site_fract_y
_atom_site_fract_z
_atom_site_occupancy
Ce1 0.000 0.000 0.000 1
Pu1 0.500 0.500 0.239 1
Pu2 0.500 0.500 0.761 1
Sb1 0.000 0.000 0.500 1
N1 0.000 0.500 0.000 1
N2 0.500 0.000 0.000 1
# **SG**: P4/mmm (123)
# **Calculated total energy**: -10.09 eV/atom
# **D(E_F)**: 20.5 states/eV/f.u.
# **Mass density**: 10.06 g/cm3

---

# Nd2Sm3ThSe6 GGA-PBE relaxed
data_Nd2Sm3ThSe6
_chemical_formula_sum 'Nd2 Sm3 Th1 Se6'
_space_group_name_H-M_alt 'P 1'
_space_group_IT_number 1
_space_group_name_Hall 'P 1'
_cell_length_a 9.382
_cell_length_b 9.382
_cell_length_c 8.420
_cell_angle_alpha 103.09
_cell_angle_beta 103.09
_cell_angle_gamma 25.80
loop_
_atom_site_label
_atom_site_fract_x
_atom_site_fract_y
_atom_site_fract_z
_atom_site_occupancy
Nd1 0.165 0.165 0.331 1
Nd2 0.835 0.835 0.669 1
Sm1 0.167 0.167 0.835 1
Sm2 0.500 0.500 0.500 1
Sm3 0.833 0.833 0.165 1
Th1 0.500 0.500 0.000 1
Se1 0.002 0.002 0.747 1
Se2 0.332 0.332 0.920 1
Se3 0.333 0.333 0.414 1
Se4 0.667 0.667 0.586 1
Se5 0.668 0.668 0.080 1
Se6 0.998 0.998 0.253 1
# **SG**: C2/m (12)
# **Calculated total energy**: -6.11 eV/atom
# **D(E_F)**: 6.6 states/eV/f.u.
# **Mass density**: 7.65 g/cm3

---

# LaCd2In GGA-PBE relaxed
data_LaCd2In
_chemical_formula_sum 'La1 Cd2 In1'
_space_group_name_H-M_alt 'P 1'
_space_group_IT_number 1
_space_group_name_Hall 'P 1'
_cell_length_a 4.608
_cell_length_b 4.808
_cell_length_c 4.901
_cell_angle_alpha 90.00
_cell_angle_beta 90.00
_cell_angle_gamma 90.00
loop_
_atom_site_label
_atom_site_fract_x
_atom_site_fract_y
_atom_site_fract_z
_atom_site_occupancy
La1 0.000 0.000 0.000 1
Cd1 0.000 0.500 0.500 1
Cd2 0.500 0.000 0.500 1
In1 0.500 0.500 0.000 1
# **SG**: Pmmm (47)
# **D(E_F)**: 3.5 states/eV/f.u.
# **Energy of formation from the pure elements**: -332 meV per atom
# **Mass density**: 7.32 g/cm3

---

# KScSb2 GGA-PBE relaxed
data_KScSb2
_chemical_formula_sum 'K1 Sc1 Sb2'
_space_group_name_H-M_alt 'P 1'
_space_group_IT_number 1
_space_group_name_Hall 'P 1'
_cell_length_a 8.390
_cell_length_b 8.390
_cell_length_c 8.390
_cell_angle_alpha 152.57
_cell_angle_beta 150.15
_cell_angle_gamma 40.98
loop_
_atom_site_label
_atom_site_fract_x
_atom_site_fract_y
_atom_site_fract_z
_atom_site_occupancy
K1 0.000 0.000 0.000 1
Sc1 0.744 0.244 0.500 1
Sb1 0.203 0.703 0.500 1
Sb2 0.368 0.368 0.000 1
# **SG**: Imm2 (44)
# **D(E_F)**: 2.0 states/eV/f.u.
# **ΔE to the lowest computed polymorph**: 131 meV per atom
# **Mass density**: 4.03 g/cm3

---

# Pu2Ga5Au12 GGA-PBE relaxed
data_Pu2Ga5Au12
_chemical_formula_sum 'Pu2 Ga5 Au12'
_space_group_name_H-M_alt 'P 1'
_space_group_IT_number 1
_space_group_name_Hall 'P 1'
_cell_length_a 7.252
_cell_length_b 7.252
_cell_length_c 7.252
_cell_angle_alpha 82.79
_cell_angle_beta 82.79
_cell_angle_gamma 82.79
loop_
_atom_site_label
_atom_site_fract_x
_atom_site_fract_y
_atom_site_fract_z
_atom_site_occupancy
Pu1 0.163 0.163 0.163 1
Pu2 0.837 0.837 0.837 1
Ga1 0.000 0.500 0.500 1
Ga2 0.410 0.410 0.410 1
Ga3 0.500 0.000 0.500 1
Ga4 0.500 0.500 0.000 1
Ga5 0.590 0.590 0.590 1
Au1 0.167 0.167 0.637 1
Au2 0.167 0.637 0.167 1
Au3 0.184 0.500 0.816 1
Au4 0.184 0.816 0.500 1
Au5 0.363 0.833 0.833 1
Au6 0.500 0.184 0.816 1
Au7 0.500 0.816 0.184 1
Au8 0.637 0.167 0.167 1
Au9 0.816 0.184 0.500 1
Au10 0.816 0.500 0.184 1
Au11 0.833 0.363 0.833 1
Au12 0.833 0.833 0.363 1
# **SG**: R-3m (166)
# **D(E_F)**: 37.9 states/eV/f.u.
# **Energy of formation from the pure elements**: -219 meV per atom
# **Mass density**: 14.24 g/cm3

---

# GdZrTc4 GGA-PBE relaxed
data_GdZrTc4
_chemical_formula_sum 'Gd1 Zr1 Tc4'
_space_group_name_H-M_alt 'P 1'
_space_group_IT_number 1
_space_group_name_Hall 'P 1'
_cell_length_a 5.352
_cell_length_b 5.352
_cell_length_c 5.352
_cell_angle_alpha 60.00
_cell_angle_beta 60.00
_cell_angle_gamma 60.00
loop_
_atom_site_label
_atom_site_fract_x
_atom_site_fract_y
_atom_site_fract_z
_atom_site_occupancy
Gd1 0.000 0.000 0.000 1
Zr1 0.250 0.250 0.250 1
Tc1 0.126 0.625 0.625 1
Tc2 0.625 0.126 0.625 1
Tc3 0.625 0.625 0.126 1
Tc4 0.625 0.625 0.625 1
# **SG**: F-43m (216)
# **D(E_F)**: 9.6 states/eV/f.u.
# **Energy of formation from the pure elements**: -151 meV per atom
# **Mass density**: 9.81 g/cm3

---

# Tm4ScAl GGA-PBE relaxed
data_Tm4ScAl
_chemical_formula_sum 'Tm8 Sc2 Al2'
_space_group_name_H-M_alt 'P 1'
_space_group_IT_number 1
_space_group_name_Hall 'P 1'
_cell_length_a 7.988
_cell_length_b 7.988
_cell_length_c 6.020
_cell_angle_alpha 99.68
_cell_angle_beta 99.68
_cell_angle_gamma 115.24
loop_
_atom_site_label
_atom_site_fract_x
_atom_site_fract_y
_atom_site_fract_z
_atom_site_occupancy
Tm1 0.087 0.714 0.955 1
Tm2 0.177 0.397 0.626 1
Tm3 0.286 0.913 0.545 1
Tm4 0.397 0.177 0.126 1
Tm5 0.603 0.823 0.874 1
Tm6 0.714 0.087 0.455 1
Tm7 0.823 0.603 0.374 1
Tm8 0.913 0.286 0.045 1
Sc1 0.404 0.596 0.250 1
Sc2 0.596 0.404 0.750 1
Al1 0.001 0.999 0.750 1
Al2 0.999 0.001 0.250 1
# **SG**: C2/c (15)
# **D(E_F)**: 8.9 states/eV/f.u.
# **ΔE to the lowest computed polymorph**: 0 meV per atom
# **Energy of formation from the pure elements**: -21 meV per atom
# **Mass density**: 7.53 g/cm3

---

# NaTaI2N GGA-PBE relaxed
data_NaTaI2N
_chemical_formula_sum 'Na1 Ta1 I2 N1'
_space_group_name_H-M_alt 'P 1'
_space_group_IT_number 1
_space_group_name_Hall 'P 1'
_cell_length_a 5.858
_cell_length_b 5.858
_cell_length_c 3.964
_cell_angle_alpha 90.00
_cell_angle_beta 90.00
_cell_angle_gamma 90.00
loop_
_atom_site_label
_atom_site_fract_x
_atom_site_fract_y
_atom_site_fract_z
_atom_site_occupancy
Na1 0.000 0.000 0.000 1
Ta1 0.500 0.500 0.500 1
I1 0.000 0.500 0.500 1
I2 0.500 0.000 0.500 1
N1 0.500 0.500 0.000 1
# **SG**: P4/mmm (123)
# **D(E_F)**: 2.7 states/eV/f.u.
# **ΔE to the lowest computed polymorph**: 0 meV per atom
# **Mass density**: 5.76 g/cm3

---

# LaTh2PdRh5 GGA-PBE relaxed
data_LaTh2PdRh5
_chemical_formula_sum 'La2 Th4 Pd2 Rh10'
_space_group_name_H-M_alt 'P 1'
_space_group_IT_number 1
_space_group_name_Hall 'P 1'
_cell_length_a 8.044
_cell_length_b 8.044
_cell_length_c 8.044
_cell_angle_alpha 116.23
_cell_angle_beta 116.23
_cell_angle_gamma 96.66
loop_
_atom_site_label
_atom_site_fract_x
_atom_site_fract_y
_atom_site_fract_z
_atom_site_occupancy
La1 0.250 0.250 0.000 1
La2 0.750 0.750 0.000 1
Th1 0.139 0.639 0.778 1
Th2 0.361 0.139 0.500 1
Th3 0.639 0.861 0.500 1
Th4 0.861 0.361 0.222 1
Pd1 0.250 0.750 0.500 1
Pd2 0.750 0.250 0.500 1
Rh1 0.000 0.000 0.000 1
Rh2 0.054 0.179 0.500 1
Rh3 0.179 0.679 0.125 1
Rh4 0.321 0.446 0.500 1
Rh5 0.446 0.946 0.125 1
Rh6 0.500 0.500 0.000 1
Rh7 0.554 0.054 0.875 1
Rh8 0.679 0.554 0.500 1
Rh9 0.821 0.321 0.875 1
Rh10 0.946 0.821 0.500 1
# **SG**: I4/mcm (140)
# **D(E_F)**: 7.9 states/eV/f.u.
# **Energy of formation from the pure elements**: -423 meV per atom
# **Mass density**: 10.52 g/cm3

---

# AgSCl2O GGA-PBE relaxed
data_AgSCl2O
_chemical_formula_sum 'Ag1 S1 Cl2 O1'
_space_group_name_H-M_alt 'P 1'
_space_group_IT_number 1
_space_group_name_Hall 'P 1'
_cell_length_a 5.018
_cell_length_b 5.018
_cell_length_c 4.854
_cell_angle_alpha 90.00
_cell_angle_beta 90.00
_cell_angle_gamma 90.00
loop_
_atom_site_label
_atom_site_fract_x
_atom_site_fract_y
_atom_site_fract_z
_atom_site_occupancy
Ag1 0.000 0.000 0.000 1
S1 0.000 0.000 0.500 1
Cl1 0.000 0.500 0.000 1
Cl2 0.500 0.000 0.000 1
O1 0.500 0.500 0.500 1
# **SG**: P4/mmm (123)
# **D(E_F)**: 10.8 states/eV/f.u.
# **ΔE to the lowest computed polymorph**: 599 meV per atom
# **Mass density**: 3.08 g/cm3

---

# La3ZnIn GGA-PBE relaxed
data_La3ZnIn
_chemical_formula_sum 'La3 Zn1 In1'
_space_group_name_H-M_alt 'P 1'
_space_group_IT_number 1
_space_group_name_Hall 'P 1'
_cell_length_a 5.664
_cell_length_b 5.664
_cell_length_c 5.664
_cell_angle_alpha 90.00
_cell_angle_beta 90.00
_cell_angle_gamma 90.00
loop_
_atom_site_label
_atom_site_fract_x
_atom_site_fract_y
_atom_site_fract_z
_atom_site_occupancy
La1 0.000 0.000 0.500 1
La2 0.000 0.500 0.000 1
La3 0.500 0.000 0.000 1
Zn1 0.000 0.000 0.000 1
In1 0.500 0.500 0.500 1
# **SG**: Pm-3m (221)
# **D(E_F)**: 9.4 states/eV/f.u.
# **ΔE to the lowest computed polymorph**: 358 meV per atom
# **Energy of formation from the pure elements**: 54 meV per atom
# **Mass density**: 5.45 g/cm3

---

# Cs2KGeAs2 GGA-PBE relaxed
data_Cs2KGeAs2
_chemical_formula_sum 'Cs4 K2 Ge2 As4'
_space_group_name_H-M_alt 'P 1'
_space_group_IT_number 1
_space_group_name_Hall 'P 1'
_cell_length_a 9.696
_cell_length_b 9.696
_cell_length_c 9.696
_cell_angle_alpha 131.19
_cell_angle_beta 66.53
_cell_angle_gamma 137.70
loop_
_atom_site_label
_atom_site_fract_x
_atom_site_fract_y
_atom_site_fract_z
_atom_site_occupancy
Cs1 0.177 0.218 0.395 1
Cs2 0.323 0.718 0.041 1
Cs3 0.677 0.282 0.959 1
Cs4 0.823 0.782 0.605 1
K1 0.250 0.750 0.500 1
K2 0.750 0.250 0.500 1
Ge1 0.250 0.250 0.000 1
Ge2 0.750 0.750 0.000 1
As1 0.085 0.815 0.900 1
As2 0.415 0.315 0.730 1
As3 0.585 0.685 0.270 1
As4 0.915 0.185 0.100 1
# **SG**: Ibam (72)
# **D(E_F)**: 3.7 states/eV/f.u.
# **Energy of formation from the pure elements**: -325 meV per atom
# **Mass density**: 3.85 g/cm3